Entry 1:
Entry from Alexandria via LeMat-Bulk: a relaxed structure of La6Pr2NdSm (GGA-PBE).

Lattice parameters (Å, degrees): 9.2330 9.2330 9.3456 90.18 90.18 114.83
Closest atoms and distances in Å follow each position.
Element x y z (fractional)
La  0.0321  0.4692  0.6811  3 La 3.42-3.52, 1 Nd 3.45, 1 Sm 3.45, 2 Pr 3.54-3.83
La  0.0742  0.7778  0.9061  4 La 3.28-3.61, 1 Nd 3.50, 1 Pr 3.61
La  0.2222  0.9258  0.5939  4 La 3.28-3.61, 1 Nd 3.50, 1 Pr 3.61
La  0.2771  0.5743  0.0918  4 La 3.30-3.61, 1 Sm 3.51, 1 Pr 3.61
La  0.4257  0.7229  0.4082  4 La 3.30-3.61, 1 Sm 3.51, 1 Pr 3.61
La  0.4692  0.0321  0.1811  3 La 3.42-3.52, 1 Nd 3.45, 1 Sm 3.45, 2 Pr 3.54-3.83
La  0.5308  0.9679  0.8189  3 La 3.42-3.52, 1 Nd 3.45, 1 Sm 3.45, 2 Pr 3.54-3.83
La  0.5743  0.2771  0.5918  4 La 3.30-3.61, 1 Sm 3.51, 1 Pr 3.61
La  0.7229  0.4257  0.9082  4 La 3.30-3.61, 1 Sm 3.51, 1 Pr 3.61
La  0.7778  0.0742  0.4061  4 La 3.28-3.61, 1 Nd 3.50, 1 Pr 3.61
La  0.9258  0.2222  0.0939  4 La 3.28-3.61, 1 Nd 3.50, 1 Pr 3.61
La  0.9679  0.5308  0.3189  3 La 3.42-3.52, 1 Nd 3.45, 1 Sm 3.45, 2 Pr 3.54-3.83
Pr  0.2052  0.2960  0.4353  2 Sm 3.52-3.85, 2 Nd 3.53-3.89, 6 La 3.54-3.83
Pr  0.2960  0.2052  0.9353  2 Sm 3.52-3.85, 2 Nd 3.53-3.89, 6 La 3.54-3.83
Pr  0.7040  0.7948  0.0647  2 Sm 3.52-3.85, 2 Nd 3.53-3.89, 6 La 3.54-3.83
Pr  0.7948  0.7040  0.5647  2 Sm 3.52-3.85, 2 Nd 3.53-3.89, 6 La 3.54-3.83
Nd  0.0717  0.9283  0.2500  6 La 3.45-3.79, 2 Pr 3.53
Nd  0.9283  0.0717  0.7500  6 La 3.45-3.79, 2 Pr 3.53
Sm  0.4306  0.5694  0.7500  6 La 3.45-3.77, 4 Pr 3.52-3.85
Sm  0.5694  0.4306  0.2500  6 La 3.45-3.77, 4 Pr 3.52-3.85

Computed properties:
VASP energy: -95.203 eV for the cell shown
ΔE_f: 101 meV per atom
Total magnetization: 0.000 μB per atom
Space-group type: No. 15

***

Entry 2:
Entry from Alexandria via LeMat-Bulk: a relaxed structure of LaPr5Nd2Sm (GGA-PBE).

Lattice parameters (Å, degrees): 10.2376 10.2376 10.2376 127.68 127.68 77.15
Closest atoms and distances in Å follow each position.
Element x y z (fractional)
La  0.2500  0.2500  0.0000  10 Pr 3.71-4.00
La  0.7500  0.7500  0.0000  10 Pr 3.71-4.00
Pr  0.0000  0.0000  0.0000  4 Nd 3.61, 8 Pr 3.92, 2 La 4.00
Pr  0.0684  0.5684  0.9116  1 Nd 3.15, 1 Sm 3.19
Pr  0.1568  0.0684  0.5000  1 Nd 3.15, 1 Sm 3.19
Pr  0.3432  0.8432  0.9116  1 Nd 3.15, 1 Sm 3.19
Pr  0.4316  0.3432  0.5000  1 Nd 3.15, 1 Sm 3.19
Pr  0.5000  0.5000  0.0000  4 Nd 3.61, 8 Pr 3.92, 2 La 4.00
Pr  0.5684  0.6568  0.5000  1 Nd 3.15, 1 Sm 3.19
Pr  0.6568  0.1568  0.0884  1 Nd 3.15, 1 Sm 3.19
Pr  0.8432  0.9316  0.5000  1 Nd 3.15, 1 Sm 3.19
Pr  0.9316  0.4316  0.0884  1 Nd 3.15, 1 Sm 3.19
Nd  0.1174  0.3826  0.5000  1 Nd 3.00, 2 Pr 3.15
Nd  0.3826  0.8826  0.2651  1 Nd 3.00, 2 Pr 3.15
Nd  0.6174  0.1174  0.7349  1 Nd 3.00, 2 Pr 3.15
Nd  0.8826  0.6174  0.5000  1 Nd 3.00, 2 Pr 3.15
Sm  0.2500  0.7500  0.5000  4 Pr 3.19
Sm  0.7500  0.2500  0.5000  4 Pr 3.19

Computed properties:
VASP energy: -81.710 eV for the cell shown
ΔE_f: 247 meV per atom
Total magnetization: 0.000 μB per atom
Space-group type: No. 140

***

Entry 3:
Entry from Alexandria via LeMat-Bulk: a relaxed structure of LaPr2Nd2Sm (GGA-PBE).

Lattice parameters (Å, degrees): 5.8629 10.1053 7.1964 90.00 90.00 90.00
Closest atoms and distances in Å follow each position.
Element x y z (fractional)
La  0.0000  0.0000  0.0000  2 La 3.60, 2 Pr 3.80-3.81, 6 Nd 3.82-3.83, 4 Sm 3.83
La  0.0000  0.0000  0.5000  2 La 3.60, 2 Pr 3.80-3.81, 6 Nd 3.82-3.83, 4 Sm 3.83
Pr  0.0000  0.3318  0.2507  5 Nd 3.37-3.60
Pr  0.0000  0.6682  0.7507  5 Nd 3.37-3.60
Pr  0.5000  0.5001  0.0007  6 Pr 3.60-3.84, 6 Nd 3.81-3.83, 2 Sm 3.82-3.83
Pr  0.5000  0.4999  0.5007  6 Pr 3.60-3.84, 6 Nd 3.81-3.83, 2 Sm 3.82-3.83
Nd  0.0000  0.3333  0.7507  2 Sm 3.38, 3 Pr 3.38-3.60
Nd  0.0000  0.6667  0.2507  2 Sm 3.38, 3 Pr 3.38-3.60
Nd  0.5000  0.1676  0.2499  2 Pr 3.37, 3 Sm 3.37-3.60
Nd  0.5000  0.8324  0.7499  2 Pr 3.37, 3 Sm 3.37-3.60
Sm  0.5000  0.1662  0.7499  5 Nd 3.37-3.60
Sm  0.5000  0.8338  0.2499  5 Nd 3.37-3.60

Computed properties:
VASP energy: -56.944 eV for the cell shown
ΔE_f: 45 meV per atom
Total magnetization: 0.000 μB per atom
Space-group type: No. 26